# 1
# PBE-GGA Tb2Y6Er3, relaxed
data_Tb2Y6Er3
_cell_length_a 5.6383
_cell_length_b 5.6383
_cell_length_c 38.3567
_cell_angle_alpha 90.00
_cell_angle_beta 90.00
_cell_angle_gamma 120.00
_space_group_name_H-M_alt 'R -3 m'
_space_group_IT_number 166
_space_group_name_Hall '-R 3 2"'
loop_
_atom_site_label
_atom_site_fract_x
_atom_site_fract_y
_atom_site_fract_z
Tb1 0.0000 0.0000 0.0448
Y1 0.0000 0.0000 0.1387
Y2 0.0000 0.0000 0.2350
Y3 0.0000 0.0000 0.4170
Er1 0.0000 0.0000 0.3286
Er2 0.0000 0.0000 0.5000
# total magnetic moment: 0.000 μB per atom
# ΔE to the lowest computed polymorph: 0.0000 eV/atom
# formation enthalpy at 0 K: 11.4 kJ/mol of atoms

# 2
# PBE-GGA NaCo2Re2, relaxed
data_NaCo2Re2
_cell_length_a 7.538
_cell_length_b 7.538
_cell_length_c 2.561
_cell_angle_alpha 90.00
_cell_angle_beta 90.00
_cell_angle_gamma 90.00
_space_group_name_H-M_alt 'P 4/m b m'
_space_group_IT_number 127
_space_group_name_Hall '-P 4 2ab'
loop_
_atom_site_label
_atom_site_fract_x
_atom_site_fract_y
_atom_site_fract_z
Na1 0.000 0.000 0.000
Co1 0.165 0.335 0.000
Re1 0.124 0.624 0.500
# total magnetic moment: 0.000 μB per atom
# ΔE to the lowest computed polymorph: 0.0000 eV/atom
# formation enthalpy at 0 K: 32.0 kJ/mol of atoms

# 3
# PBE-GGA LiAlI2, relaxed
data_LiAlI2
_cell_length_a 7.899
_cell_length_b 7.899
_cell_length_c 7.899
_cell_angle_alpha 90.00
_cell_angle_beta 90.00
_cell_angle_gamma 90.00
_space_group_name_H-M_alt 'F m -3 m'
_space_group_IT_number 225
_space_group_name_Hall '-F 4 2 3'
loop_
_atom_site_label
_atom_site_fract_x
_atom_site_fract_y
_atom_site_fract_z
Li1 0.000 0.000 0.000
Al1 0.000 0.000 0.500
I1 0.250 0.250 0.250
# total magnetic moment: 0.000 μB per atom
# ΔE to the lowest computed polymorph: 0.1224 eV/atom
# formation energy from raw total energies: -0.371 eV/atom

# 4
# PBE-GGA CrW2N4, relaxed
data_CrW2N4
_cell_length_a 3.715
_cell_length_b 3.715
_cell_length_c 10.603
_cell_angle_alpha 90.00
_cell_angle_beta 90.00
_cell_angle_gamma 90.00
_space_group_name_H-M_alt 'I 4/m m m'
_space_group_IT_number 139
_space_group_name_Hall '-I 4 2'
loop_
_atom_site_label
_atom_site_fract_x
_atom_site_fract_y
_atom_site_fract_z
Cr1 0.000 0.000 0.000
W1 0.000 0.000 0.360
N1 0.000 0.000 0.186
N2 0.000 0.500 0.000
# total magnetic moment: 0.048 μB per atom
# formation energy from raw total energies: 0.637 eV/atom

# 5
# PBE-GGA BaTeSe4, relaxed
data_BaTeSe4
_cell_length_a 8.523
_cell_length_b 8.523
_cell_length_c 8.523
_cell_angle_alpha 90.00
_cell_angle_beta 90.00
_cell_angle_gamma 90.00
_space_group_name_H-M_alt 'F -4 3 m'
_space_group_IT_number 216
_space_group_name_Hall 'F -4 2 3'
loop_
_atom_site_label
_atom_site_fract_x
_atom_site_fract_y
_atom_site_fract_z
Ba1 0.000 0.000 0.000
Te1 0.250 0.250 0.250
Se1 0.124 0.124 0.624
# total magnetic moment: 0.001 μB per atom
# ΔE to the lowest computed polymorph: 0.4642 eV/atom
# formation energy from raw total energies: -0.201 eV/atom

# 6
# PBE-GGA ZrNi2Ge, relaxed
data_ZrNi2Ge
_cell_length_a 3.146
_cell_length_b 3.957
_cell_length_c 5.035
_cell_angle_alpha 90.00
_cell_angle_beta 90.00
_cell_angle_gamma 90.00
_space_group_name_H-M_alt 'P m m m'
_space_group_IT_number 47
loop_
_space_group_symop_operation_xyz
'x,y,z'
'-x,-y,-z'
'-x,-y,z'
'x,y,-z'
'x,-y,-z'
'-x,y,z'
'-x,y,-z'
'x,-y,z'
loop_
_atom_site_label
_atom_site_fract_x
_atom_site_fract_y
_atom_site_fract_z
Zr1 0.000 0.000 0.000
Ni1 0.500 0.500 0.242
Ge1 0.500 0.000 0.500
# total magnetic moment: 0.000 μB per atom
# formation enthalpy at 0 K: -35.1 kJ/mol of atoms

Copy entry 6 word for word.
# PBE-GGA ZrNi2Ge, relaxed
data_ZrNi2Ge
_cell_length_a 3.146
_cell_length_b 3.957
_cell_length_c 5.035
_cell_angle_alpha 90.00
_cell_angle_beta 90.00
_cell_angle_gamma 90.00
_space_group_name_H-M_alt 'P m m m'
_space_group_IT_number 47
loop_
_space_group_symop_operation_xyz
'x,y,z'
'-x,-y,-z'
'-x,-y,z'
'x,y,-z'
'x,-y,-z'
'-x,y,z'
'-x,y,-z'
'x,-y,z'
loop_
_atom_site_label
_atom_site_fract_x
_atom_site_fract_y
_atom_site_fract_z
Zr1 0.000 0.000 0.000
Ni1 0.500 0.500 0.242
Ge1 0.500 0.000 0.500
# total magnetic moment: 0.000 μB per atom
# formation enthalpy at 0 K: -35.1 kJ/mol of atoms

Repeat the third record exactly.
# PBE-GGA LiAlI2, relaxed
data_LiAlI2
_cell_length_a 7.899
_cell_length_b 7.899
_cell_length_c 7.899
_cell_angle_alpha 90.00
_cell_angle_beta 90.00
_cell_angle_gamma 90.00
_space_group_name_H-M_alt 'F m -3 m'
_space_group_IT_number 225
_space_group_name_Hall '-F 4 2 3'
loop_
_atom_site_label
_atom_site_fract_x
_atom_site_fract_y
_atom_site_fract_z
Li1 0.000 0.000 0.000
Al1 0.000 0.000 0.500
I1 0.250 0.250 0.250
# total magnetic moment: 0.000 μB per atom
# ΔE to the lowest computed polymorph: 0.1224 eV/atom
# formation energy from raw total energies: -0.371 eV/atom